Record 1
Crystalline Ca2YRu at its relaxed geometry, computed with GGA-PBE.

Summary:
Energy of formation from the pure elements: 0.30 eV per atom
Polymorph energy (0 for the lowest one): 260 meV/atom
Mass density: 3.405 g/cm³
Total moment: 0.00 Bohr magnetons per cell

abc: 7.487 7.487 7.487
angles: 97.48 97.48 137.69
Fractional positions:
1 Ca 0.003 0.625 0.878
2 Ca 0.375 0.253 0.378
3 Ca 0.747 0.125 0.122
4 Ca 0.875 0.997 0.622
5 Y 0.250 0.750 0.500
6 Y 0.500 0.500 0.000
7 Ru 0.000 0.000 0.000
8 Ru 0.750 0.250 0.500

Record 2
Crystalline Ca2Y2Ru at its relaxed geometry, computed with GGA-PBE.

Summary:
Energy of formation from the pure elements: 0.09 eV per atom
Mass density: 3.779 g/cm³
Total moment: 0.00 Bohr magnetons per cell

abc: 7.183 7.183 6.116
angles: 90.00 90.00 90.00
Fractional positions:
1 Ca 0.180 0.320 0.000
2 Ca 0.320 0.820 0.000
3 Ca 0.680 0.180 0.000
4 Ca 0.820 0.680 0.000
5 Y 0.168 0.668 0.500
6 Y 0.332 0.168 0.500
7 Y 0.668 0.832 0.500
8 Y 0.832 0.332 0.500
9 Ru 0.000 0.000 0.500
10 Ru 0.500 0.500 0.500

Record 3
Crystalline CaY3Ru at its relaxed geometry, computed with GGA-PBE.

Summary:
Energy of formation from the pure elements: 0.00 eV per atom
Polymorph energy (0 for the lowest one): 187 meV/atom
Mass density: 4.612 g/cm³
Total moment: 0.00 Bohr magnetons per cell

abc: 8.027 8.027 6.086
angles: 90.00 90.00 131.49
Fractional positions:
1 Ca 0.080 0.920 0.750
2 Ca 0.920 0.080 0.250
3 Y 0.066 0.443 0.750
4 Y 0.443 0.066 0.250
5 Y 0.500 0.500 0.000
6 Y 0.500 0.500 0.500
7 Y 0.557 0.934 0.750
8 Y 0.934 0.557 0.250
9 Ru 0.335 0.665 0.250
10 Ru 0.665 0.335 0.750

Record 4
Crystalline CaY3Ru at its relaxed geometry, computed with GGA-PBE.

Summary:
Energy of formation from the pure elements: -0.15 eV per atom
Polymorph energy (0 for the lowest one): 37 meV/atom
Mass density: 4.333 g/cm³
Total moment: 0.00 Bohr magnetons per cell

abc: 8.921 3.945 9.118
angles: 90.00 103.07 90.00
Fractional positions:
1 Ca 0.054 0.250 0.181
2 Ca 0.946 0.750 0.819
3 Y 0.256 0.250 0.689
4 Y 0.355 0.750 0.035
5 Y 0.363 0.750 0.403
6 Y 0.637 0.250 0.597
7 Y 0.645 0.250 0.965
8 Y 0.744 0.750 0.311
9 Ru 0.479 0.750 0.746
10 Ru 0.521 0.250 0.254

Record 5
Crystalline CaY3Ru2 at its relaxed geometry, computed with GGA-PBE.

Summary:
Energy of formation from the pure elements: -0.24 eV per atom
Mass density: 5.545 g/cm³
Total moment: 0.00 Bohr magnetons per cell

abc: 3.455 3.455 12.767
angles: 90.00 90.00 90.00
Fractional positions:
1 Ca 0.000 0.000 0.000
2 Y 0.500 0.500 0.239
3 Y 0.500 0.500 0.500
4 Y 0.500 0.500 0.761
5 Ru 0.000 0.000 0.360
6 Ru 0.000 0.000 0.640

Record 6
Crystalline CaYRu2 at its relaxed geometry, computed with GGA-PBE.

Summary:
Energy of formation from the pure elements: 0.33 eV per atom
Mass density: 7.112 g/cm³
Total moment: 0.00 Bohr magnetons per cell

abc: 4.782 4.782 4.782
angles: 60.00 60.00 60.00
Fractional positions:
1 Ca 0.000 0.000 0.000
2 Y 0.250 0.250 0.250
3 Ru 0.500 0.500 0.500
4 Ru 0.750 0.750 0.750

Record 7
Crystalline CaYRu2 at its relaxed geometry, computed with GGA-PBE.

Summary:
Energy of formation from the pure elements: 0.27 eV per atom
Mass density: 6.431 g/cm³
Total moment: 0.00 Bohr magnetons per cell

abc: 4.678 4.678 6.098
angles: 99.87 99.87 40.67
Fractional positions:
1 Ca 0.000 0.000 0.000
2 Y 0.500 0.500 0.500
3 Ru 0.247 0.247 0.695
4 Ru 0.753 0.753 0.305

Record 8
Crystalline CaYRu2 at its relaxed geometry, computed with GGA-PBE.

Summary:
Energy of formation from the pure elements: 0.14 eV per atom
Mass density: 6.933 g/cm³
Total moment: 0.00 Bohr magnetons per cell

abc: 4.805 4.805 3.435
angles: 90.00 90.00 90.00
Fractional positions:
1 Ca 0.000 0.000 0.000
2 Y 0.500 0.500 0.000
3 Ru 0.000 0.500 0.500
4 Ru 0.500 0.000 0.500